[1]
Below is a geometry-optimized BaP4 structure, with properties calculated at the PBE level.

abc: 5.7981 5.7981 5.7981
angles: 109.47 109.47 109.47
Positions (direct):
Ba 0.0000 0.0000 0.0000
P 0.5000 0.0000 0.0000
P 0.5000 0.5000 0.5000
P 0.0000 0.5000 0.0000
P 0.0000 0.0000 0.5000

Summary:
Total magnetic moment ... 0.00 Bohr magnetons per cell
V ... 150.0 Å³ per cell
Final energy ... -3.420 eV per atom
Energy of formation ... 124.69 kJ/mol of atoms


[2]
Below is a geometry-optimized CrPtSN2 structure, with properties calculated at the PBE level.

abc: 3.6779 3.6779 8.1420
angles: 90.00 90.00 90.00
Last column: magnetic moment on the atom in μB.
Positions (direct):
Cr 0.5000 0.5000 0.5000  3.71
S 0.0000 0.0000 0.5000  -0.15
Pt 0.0000 0.0000 0.0000  0.00
N 0.0000 0.5000 0.0000  0.00
N 0.5000 0.0000 0.0000  0.00

Summary:
Total magnetic moment ... 3.95 Bohr magnetons per cell
V ... 110.1 Å³ per cell
E_form (uncorrected) ... 1.040 eV per atom
Final energy ... -6.248 eV per atom


[3]
Below is a geometry-optimized TaV3H7 structure, with properties calculated at the PBE level.

abc: 5.1663 5.1663 6.0448
angles: 90.00 90.00 107.10
Positions (direct):
Ta 0.5000 0.5000 0.0000
Ta 0.5000 0.5000 0.5000
V 0.0022 0.4941 0.7500
V 0.0000 0.0000 0.0000
V 0.0000 0.0000 0.5000
V 0.5059 0.9978 0.2500
V 0.4941 0.0022 0.7500
V 0.9978 0.5059 0.2500
H 0.1356 0.8726 0.2500
H 0.1274 0.8644 0.7500
H 0.1129 0.3739 0.4910
H 0.1129 0.3739 0.0090
H 0.6261 0.8871 0.9910
H 0.6261 0.8871 0.5090
H 0.3126 0.3126 0.7500
H 0.6874 0.6874 0.2500
H 0.3739 0.1129 0.0090
H 0.3739 0.1129 0.4910
H 0.8871 0.6261 0.9910
H 0.8871 0.6261 0.5090
H 0.8726 0.1356 0.2500
H 0.8644 0.1274 0.7500

Summary:
Total magnetic moment ... 0.00 Bohr magnetons per cell
V ... 154.2 Å³ per cell
Final energy ... -5.842 eV per atom


[4]
Below is a geometry-optimized KLi2Te structure, with properties calculated at the PBE level.

abc: 6.1835 6.1835 4.8578
angles: 67.35 67.35 113.11
Positions (direct):
K 0.0000 0.5000 0.5000
Li 0.0000 0.0000 0.0000
Li 0.5000 0.5000 0.0000
Te 0.5000 0.0000 0.5000

Summary:
Total magnetic moment ... 0.40 Bohr magnetons per cell
V ... 122.2 Å³ per cell
E_form (uncorrected) ... -0.329 eV per atom
Final energy ... -2.346 eV per atom


[5]
Below is a geometry-optimized Rb2HoSbO6 structure, with properties calculated at the PBE level.

abc: 6.0585 6.0574 6.0599
angles: 59.99 59.99 89.99
Last column: magnetic moment on the atom in μB.
Positions (direct):
Rb 0.2500 0.7500 0.5000  0.00
Rb 0.7500 0.2500 0.5000  0.00
Ho 0.0000 0.0000 0.0000  -0.05
Sb 0.5000 0.5000 0.0000  -0.03
O 0.2653 0.7348 0.0000  0.29
O 0.7347 0.7348 0.0000  0.29
O 0.2654 0.2653 0.4693  0.29
O 0.7347 0.2652 0.0000  0.29
O 0.2653 0.2652 0.0000  0.29
O 0.7346 0.7347 0.5307  0.29

Summary:
Total magnetic moment ... 2.04 Bohr magnetons per cell
V ... 157.2 Å³ per cell
E_form (uncorrected) ... -1.801 eV per atom
Final energy ... -5.840 eV per atom


[6]
Below is a geometry-optimized CaTbMgHg structure, with properties calculated at the PBE level.

abc: 3.8348 3.8348 7.5640
angles: 90.00 90.00 90.00
Positions (direct):
Ca 0.0000 0.0000 0.8665
Tb 0.0000 0.0000 0.3444
Mg 0.5000 0.5000 0.5954
Hg 0.5000 0.5000 0.1217

Summary:
Total magnetic moment ... 0.00 Bohr magnetons per cell
V ... 111.2 Å³ per cell
Final energy ... -2.435 eV per atom
Energy of formation ... -29.23 kJ/mol of atoms


[7]
Below is a geometry-optimized Re3GeOs structure, with properties calculated at the PBE level.

abc: 4.7467 4.7467 4.7467
angles: 90.00 90.00 90.00
Last column: magnetic moment on the atom in μB.
Positions (direct):
Re 0.0000 0.5000 0.0000  0.46
Re 0.0000 0.0000 0.5000  0.45
Re 0.5000 0.0000 0.0000  0.43
Ge 0.5000 0.5000 0.5000  -0.04
Os 0.0000 0.0000 0.0000  -0.04

Summary:
Total magnetic moment ... 1.38 Bohr magnetons per cell
V ... 107.0 Å³ per cell
Final energy ... -8.416 eV per atom
Energy of formation ... 214.46 kJ/mol of atoms


[8]
Below is a geometry-optimized ZnAgPt3 structure, with properties calculated at the PBE level.

abc: 4.6280 4.6280 4.6280
angles: 90.00 90.00 90.00
Positions (direct):
Zn 0.0000 0.0000 0.0000
Ag 0.5000 0.5000 0.5000
Pt 0.0000 0.5000 0.0000
Pt 0.0000 0.0000 0.5000
Pt 0.5000 0.0000 0.0000

Summary:
Total magnetic moment ... 0.00 Bohr magnetons per cell
V ... 99.1 Å³ per cell
Final energy ... -3.720 eV per atom
Energy of formation ... 70.43 kJ/mol of atoms


Q: Which of these has the highest final energy?
A: KLi2Te


Q: Among the records above, which one has the highest V?
A: Rb2HoSbO6